The following is a PBE calculation of PuPaNiRu after structural relaxation, from Alexandria.

Summary:
energy of formation = -0.33 eV per atom
total energy = -10.05 eV per atom
crystal system = cubic
space group = F-43m

abc: 4.5951 4.5951 4.5951
angles: 60.00 60.00 60.00
Atoms (fractional coordinates):
Ru (0.0000, 0.0000, 0.0000)
Pa (0.2500, 0.2500, 0.2500)
Ni (0.7500, 0.7500, 0.7500)
Pu (0.5000, 0.5000, 0.5000)

***

The following is a PBE calculation of Pu2PaNiS5 after structural relaxation, from Alexandria.

Summary:
total energy = -8.65 eV per atom
energy relative to the elements, uncorrected = -1.48 eV per atom
crystal system = orthorhombic
space group = Cmc2_1

abc: 3.7980 8.3299 11.8010
angles: 90.00 90.00 103.18
Atoms (fractional coordinates):
Pu (0.8907, 0.7815, 0.8489)
Pu (0.1166, 0.2332, 0.6962)
Pu (0.1093, 0.2185, 0.3489)
Pu (0.8834, 0.7668, 0.1962)
Pa (0.8190, 0.6380, 0.5243)
Pa (0.1810, 0.3620, 0.0243)
Ni (0.5571, 0.1141, 0.9202)
Ni (0.4429, 0.8859, 0.4202)
S (0.3462, 0.6925, 0.0201)
S (0.6875, 0.3751, 0.8588)
S (0.4960, 0.9919, 0.7527)
S (0.3047, 0.6094, 0.6888)
S (0.9815, 0.9629, 0.5140)
S (0.6538, 0.3075, 0.5201)
S (0.3125, 0.6249, 0.3588)
S (0.5040, 0.0081, 0.2527)
S (0.6953, 0.3906, 0.1888)
S (0.0185, 0.0371, 0.0140)

***

The following is a PBE calculation of PuPaNiS4 after structural relaxation, from Alexandria.

Summary:
total energy = -7.95 eV per atom
energy relative to the elements, uncorrected = -1.36 eV per atom
crystal system = monoclinic
space group = P2_1/m

abc: 6.3278 5.8531 7.6124
angles: 90.00 106.56 90.00
Atoms (fractional coordinates):
Pu (0.7495, 0.7500, 0.9395)
Pu (0.2505, 0.2500, 0.0605)
Pa (0.7547, 0.7500, 0.4418)
Pa (0.2453, 0.2500, 0.5582)
Ni (0.2364, 0.7500, 0.3205)
Ni (0.7636, 0.2500, 0.6795)
S (0.0190, 0.5123, 0.7494)
S (0.9810, 0.0123, 0.2506)
S (0.9810, 0.4877, 0.2506)
S (0.0190, 0.9877, 0.7494)
S (0.4335, 0.7500, 0.1208)
S (0.5665, 0.2500, 0.8792)
S (0.4289, 0.7500, 0.6077)
S (0.5711, 0.2500, 0.3923)

***

The following is a PBE calculation of PuPaNi2S4 after structural relaxation, from Alexandria.

Summary:
total energy = -7.60 eV per atom
energy relative to the elements, uncorrected = -1.11 eV per atom
crystal system = orthorhombic
space group = Immm

abc: 6.2921 5.6865 5.6865
angles: 67.61 56.41 56.41
Atoms (fractional coordinates):
Pu (0.0000, 0.0000, 0.0000)
Pa (0.5000, 0.5000, 0.5000)
Ni (0.1975, 0.3025, 0.3025)
Ni (0.8025, 0.6976, 0.6975)
S (0.5000, 0.0000, 0.5000)
S (0.0000, 0.0000, 0.5000)
S (0.0000, 0.5000, 0.0000)
S (0.5000, 0.5000, 0.0000)

***

The following is a PBE calculation of PuPa2Si2Ni2 after structural relaxation, from Alexandria.

Summary:
total energy = -8.41 eV per atom
energy relative to the elements, uncorrected = -0.45 eV per atom
crystal system = trigonal
space group = R-3m

abc: 4.0509 4.0509 9.3605
angles: 77.50 77.50 60.00
Atoms (fractional coordinates):
Pu (0.0000, 0.0000, 0.0000)
Pa (0.1363, 0.1363, 0.5910)
Pa (0.8637, 0.8637, 0.4090)
Si (0.7365, 0.7365, 0.7906)
Si (0.2635, 0.2635, 0.2094)
Ni (0.5934, 0.5934, 0.2198)
Ni (0.4066, 0.4066, 0.7802)

***

The following is a PBE calculation of PuPaVNi after structural relaxation, from Alexandria.

Summary:
energy of formation = 0.01 eV per atom
total energy = -9.67 eV per atom
crystal system = cubic
space group = F-43m

abc: 4.6121 4.6121 4.6121
angles: 60.00 60.00 60.00
Atoms (fractional coordinates):
Ni (0.2500, 0.2500, 0.2500)
V (0.0000, 0.0000, 0.0000)
Pa (0.7500, 0.7500, 0.7500)
Pu (0.5000, 0.5000, 0.5000)

***

The following is a PBE calculation of PuPaZnNi after structural relaxation, from Alexandria.

Summary:
energy of formation = -0.10 eV per atom
total energy = -7.82 eV per atom
crystal system = cubic
space group = F-43m

abc: 4.7126 4.7126 4.7126
angles: 60.00 60.00 60.00
Atoms (fractional coordinates):
Ni (0.0000, 0.0000, 0.0000)
Zn (0.7500, 0.7500, 0.7500)
Pa (0.2500, 0.2500, 0.2500)
Pu (0.5000, 0.5000, 0.5000)

***

The following is a PBE calculation of Rb2PaNiS4 after structural relaxation, from Alexandria.

Summary:
total energy = -5.22 eV per atom
energy relative to the elements, uncorrected = -1.01 eV per atom
crystal system = tetragonal
space group = I-4

abc: 6.8027 6.8027 6.8027
angles: 100.59 114.08 114.08
Atoms (fractional coordinates):
Rb (0.5000, 0.7500, 0.2500)
Rb (0.0000, 0.0000, 0.0000)
Pa (0.5000, 0.2500, 0.7500)
Ni (0.0000, 0.5000, 0.5000)
S (0.6056, 0.3465, 0.4479)
S (0.1015, 0.2591, 0.6535)
S (0.8985, 0.5521, 0.1577)
S (0.3944, 0.8423, 0.7409)

***

The following is a PBE calculation of Rb3Pa2NiS6 after structural relaxation, from Alexandria.

Summary:
total energy = -5.59 eV per atom
energy relative to the elements, uncorrected = -1.22 eV per atom
crystal system = monoclinic
space group = C2/m

abc: 7.2250 7.2250 7.9080
angles: 96.94 96.94 125.26
Atoms (fractional coordinates):
Rb (0.1494, 0.8506, 0.5000)
Rb (0.8506, 0.1494, 0.5000)
Rb (0.5000, 0.5000, 0.5000)
Pa (0.3382, 0.6618, 0.0000)
Pa (0.6618, 0.3382, 0.0000)
Ni (0.0000, 0.0000, 0.0000)
S (0.9429, 0.5594, 0.7928)
S (0.7571, 0.7571, 0.1572)
S (0.0571, 0.4406, 0.2072)
S (0.5594, 0.9429, 0.7928)
S (0.2429, 0.2429, 0.8428)
S (0.4406, 0.0571, 0.2072)

***

The following is a PBE calculation of RbPa2NiS5 after structural relaxation, from Alexandria.

Summary:
total energy = -6.55 eV per atom
energy relative to the elements, uncorrected = -1.40 eV per atom
crystal system = tetragonal
space group = I4/mcm

abc: 7.6582 7.6582 8.5272
angles: 116.68 116.68 90.00
Atoms (fractional coordinates):
Rb (0.2500, 0.2500, 0.5000)
Rb (0.7500, 0.7500, 0.5000)
Pa (0.1611, 0.3389, 0.0000)
Pa (0.6611, 0.1611, 0.0000)
Pa (0.3389, 0.8389, 0.0000)
Pa (0.8389, 0.6611, 0.0000)
Ni (0.2500, 0.7500, 0.5000)
Ni (0.7500, 0.2500, 0.5000)
S (0.9841, 0.4841, 0.2540)
S (0.7301, 0.2301, 0.7460)
S (0.0159, 0.5159, 0.7460)
S (0.2301, 0.0159, 0.7460)
S (0.5159, 0.7301, 0.7460)
S (0.7699, 0.9841, 0.2540)
S (0.4841, 0.2699, 0.2540)
S (0.2699, 0.7699, 0.2540)
S (0.5000, 0.5000, 0.0000)
S (0.0000, 0.0000, 0.0000)

***

The following is a PBE calculation of Rb3Pa3NiS8 after structural relaxation, from Alexandria.

Summary:
total energy = -5.97 eV per atom
energy relative to the elements, uncorrected = -1.30 eV per atom
crystal system = monoclinic
space group = C2/m

abc: 8.2807 7.8231 8.8041
angles: 113.30 90.00 121.95
Atoms (fractional coordinates):
Rb (0.0000, 0.0000, 0.0000)
Rb (0.0000, 0.5000, 0.0000)
Rb (0.5000, 0.5000, 0.0000)
Pa (0.5000, 0.0000, 0.5000)
Pa (0.5000, 0.5000, 0.5000)
Pa (0.0000, 0.5000, 0.5000)
Ni (0.0000, 0.0000, 0.5000)
S (0.2659, 0.5318, 0.3041)
S (0.7341, 0.4682, 0.6959)
S (0.8034, 0.6068, 0.3416)
S (0.1966, 0.3932, 0.6584)
S (0.7528, 0.0517, 0.3006)
S (0.2472, 0.9483, 0.6994)
S (0.2988, 0.0517, 0.3006)
S (0.7012, 0.9483, 0.6994)

***

The following is a PBE calculation of RbPa2NiS8 after structural relaxation, from Alexandria.

Summary:
total energy = -5.90 eV per atom
energy relative to the elements, uncorrected = -1.00 eV per atom
crystal system = trigonal
space group = P-3m1

abc: 5.9256 5.9256 9.3877
angles: 90.00 90.00 120.00
Atoms (fractional coordinates):
Rb (0.0000, 0.0000, 0.5000)
Pa (0.6667, 0.3333, 0.1163)
Pa (0.3333, 0.6667, 0.8837)
Ni (0.0000, 0.0000, 0.0000)
S (0.8262, 0.6525, 0.8566)
S (0.3475, 0.1738, 0.8566)
S (0.8262, 0.1738, 0.8566)
S (0.1738, 0.3475, 0.1434)
S (0.6525, 0.8262, 0.1434)
S (0.1738, 0.8262, 0.1434)
S (0.6667, 0.3333, 0.3738)
S (0.3333, 0.6667, 0.6262)